[1]
BaCaSn2Cl8 after structural relaxation. Source: Alexandria via LeMat-Bulk, functional PBE.

Cell: 6.514 6.814 9.081 Å, 89.20 89.99 88.59°
Space group P-1 (No. 2)
Inequivalent atoms, fractional coordinates:
1 Ba 0.000 0.000 0.000 [1 per cell]
2 Ca 0.000 0.000 0.500 [1 per cell]
3 Sn 0.494 0.487 0.262 [2 per cell]
4 Cl 0.205 0.810 0.275 [2 per cell]
5 Cl 0.250 0.862 0.728 [2 per cell]
6 Cl 0.263 0.321 0.465 [2 per cell]
7 Cl 0.282 0.353 0.037 [2 per cell]

Output
VASP energy ... -3.935 eV/atom
ΔE_f (raw) ... -1.7097 eV per atom
Calculated density ... 2.9 g/cm³
N(E_F) ... 0.000 states/eV/cell


[2]
BaSrCaCl6 after structural relaxation. Source: Alexandria via LeMat-Bulk, functional PBE.

Cell: 7.3466 7.3466 13.1482 Å, 90.00 90.00 120.00°
Space group P-31c (No. 163)
Inequivalent atoms, fractional coordinates:
1 Ba 0.0000 0.0000 0.0000 [2 per cell]
2 Sr 0.3333 0.6667 0.2500 [2 per cell]
3 Ca 0.3333 0.6667 0.7500 [2 per cell]
4 Cl 0.0152 0.3600 0.6332 [12 per cell]

Output
VASP energy ... -4.305 eV/atom
ΔE_f (raw) ... -2.4510 eV per atom
Calculated density ... 2.6 g/cm³
N(E_F) ... 0.000 states/eV/cell


[3]
BaSr2CaCl8 after structural relaxation. Source: Alexandria via LeMat-Bulk, functional PBE.

Cell: 6.770 9.031 6.771 Å, 90.00 90.32 90.00°
Space group P2/m (No. 10)
Inequivalent atoms, fractional coordinates:
1 Ba 0.000 0.000 0.000 [1 per cell]
2 Sr 0.500 0.260 0.500 [2 per cell]
3 Ca 0.000 0.500 0.000 [1 per cell]
4 Cl 0.186 0.274 0.203 [4 per cell]
5 Cl 0.301 0.500 0.712 [2 per cell]
6 Cl 0.329 0.000 0.694 [2 per cell]

Output
VASP energy ... -4.286 eV/atom
ΔE_f (raw) ... -2.4472 eV per atom
Calculated density ... 2.6 g/cm³
N(E_F) ... 0.000 states/eV/cell


[4]
BaSrCa2Cl after structural relaxation. Source: Alexandria via LeMat-Bulk, functional PBE.

Cell: 5.771 5.771 6.538 Å, 90.00 90.00 90.00°
Space group P4/mmm (No. 123)
Inequivalent atoms, fractional coordinates:
1 Ba 0.000 0.000 0.000 [1 per cell]
2 Sr 0.500 0.500 0.000 [1 per cell]
3 Ca 0.000 0.500 0.500 [2 per cell]
4 Cl 0.000 0.000 0.500 [1 per cell]

Output
VASP energy ... -2.463 eV/atom
ΔE_f (raw) ... -0.5723 eV per atom
Calculated density ... 2.6 g/cm³
N(E_F) ... 6.378 states/eV/cell